# 1
## SnGe2P (GGA-PBE)

Data for crystalline SnGe2P at its relaxed geometry.

POSCAR file:
```
SnGe2P
1.0
1.715 0.990 8.920
-1.715 0.990 8.920
0.000 -1.980 8.920
Sn Ge P
1 2 1
direct
0.000 0.000 0.000
0.109 0.109 0.109
0.891 0.891 0.891
0.500 0.500 0.500
```

Calculated values
Its space group is No. 166. The calculated volume is 22.7 Å³ per atom. The excess energy over the best structure of this formula in the dataset is 48 meV/atom.

***

# 2
## Li3La2ThTe6 (GGA-PBE)

Data for crystalline Li3La2ThTe6 at its relaxed geometry.

POSCAR file:
```
Li3La2ThTe6
1.0
3.877 -6.714 0.000
3.877 6.714 0.000
-2.589 0.000 7.110
Li La Th Te
3 2 1 6
direct
0.000 0.000 0.000
0.334 0.666 0.000
0.666 0.334 0.000
0.167 0.833 0.500
0.833 0.167 0.500
0.500 0.500 0.500
0.085 0.410 0.232
0.263 0.263 0.765
0.410 0.085 0.232
0.590 0.915 0.768
0.737 0.737 0.235
0.915 0.590 0.768
```

Calculated values
The calculation puts the uncorrected formation energy at -1.27 eV/atom. Its space group is No. 12. The calculated volume is 30.8 Å³ per atom.

***

# 3
## BaGaN (GGA-PBE)

Data for crystalline BaGaN at its relaxed geometry.

POSCAR file:
```
BaGaN
1.0
4.777 0.000 0.000
-0.475 5.748 0.000
-2.124 -2.851 5.162
Ba Ga N
2 2 2
direct
0.204 0.203 0.404
0.796 0.797 0.596
0.265 0.581 0.999
0.735 0.419 0.001
0.145 0.648 0.293
0.855 0.352 0.707
```

Calculated values
The calculation puts the uncorrected formation energy at -0.43 eV/atom. Its space group is No. 2. The calculated volume is 23.6 Å³ per atom.

***

# 4
## YTcOs2 (GGA-PBE)

Data for crystalline YTcOs2 at its relaxed geometry.

POSCAR file:
```
YTcOs2
1.0
4.665 0.000 0.000
0.000 4.665 0.000
0.000 0.000 3.099
Y Tc Os
1 1 2
direct
0.000 0.000 0.000
0.500 0.500 0.000
0.000 0.500 0.500
0.500 0.000 0.500
```

Calculated values
Its space group is No. 123. The calculated volume is 16.9 Å³ per atom. The excess energy over the best structure of this formula in the dataset is 193 meV/atom.

***

# 5
## Mg2TiGeS (GGA-PBE)

Data for crystalline Mg2TiGeS at its relaxed geometry.

POSCAR file:
```
Mg2TiGeS
1.0
4.680 0.000 0.000
0.000 4.680 0.000
0.000 0.000 4.583
Mg Ti Ge S
2 1 1 1
direct
0.000 0.500 0.000
0.500 0.000 0.000
0.000 0.000 0.500
0.500 0.500 0.500
0.000 0.000 0.000
```

Calculated values
The calculation puts the uncorrected formation energy at -0.17 eV/atom. Its space group is No. 123. The calculated volume is 20.1 Å³ per atom. The excess energy over the best structure of this formula in the dataset is 0 meV/atom.

***

# 6
## NaEuCdCu (GGA-PBE)

Data for crystalline NaEuCdCu at its relaxed geometry.

POSCAR file:
```
NaEuCdCu
1.0
0.000 3.719 3.719
3.719 0.000 3.719
3.719 3.719 0.000
Na Eu Cd Cu
1 1 1 1
direct
0.000 0.000 0.000
0.500 0.500 0.500
0.250 0.250 0.250
0.750 0.750 0.750
```

Calculated values
Its space group is No. 216. The calculated volume is 25.7 Å³ per atom. The electronic total energy is -16.57 eV for the cell shown.

***

# 7
## TcRu2Se (GGA-PBE)

Data for crystalline TcRu2Se at its relaxed geometry.

POSCAR file:
```
TcRu2Se
1.0
-2.771 2.771 5.451
2.771 -2.771 5.451
2.771 2.771 -5.451
Tc Ru Se
2 4 2
direct
0.000 0.000 0.000
0.750 0.250 0.500
0.121 0.625 0.996
0.375 0.371 0.496
0.629 0.125 0.004
0.875 0.879 0.504
0.250 0.750 0.500
0.500 0.500 0.000
```

Calculated values
The calculation puts the uncorrected formation energy at 0.65 eV/atom. Its space group is No. 122. The calculated volume is 20.9 Å³ per atom.

***

# 8
## Nb3Mo6W (GGA-PBE)

Data for crystalline Nb3Mo6W at its relaxed geometry.

POSCAR file:
```
Nb3Mo6W
1.0
5.981 -2.555 0.000
5.981 2.555 0.000
-4.054 0.000 5.855
Nb Mo W
3 6 1
direct
0.000 0.000 0.000
0.486 0.486 0.725
0.514 0.514 0.275
0.006 0.509 0.184
0.186 0.186 0.434
0.491 0.994 0.816
0.509 0.006 0.184
0.814 0.814 0.566
0.994 0.491 0.816
0.000 0.000 0.500
```

Calculated values
Its space group is No. 12. The calculated volume is 17.9 Å³ per atom. The excess energy over the best structure of this formula in the dataset is 595 meV/atom.